(1)
Material: LiHfAu3
Method: DFT, PBE-GGA
State: optimized geometry

a b c (Å): 5.235 5.235 8.971
angles (deg): 94.56 94.56 46.70
Element x y z (fractional)
Li  0.143  0.143  0.050
Li  0.857  0.857  0.950
Hf  0.349  0.349  0.427
Hf  0.651  0.651  0.573
Au  0.051  0.051  0.349
Au  0.262  0.262  0.760
Au  0.433  0.433  0.132
Au  0.567  0.567  0.868
Au  0.738  0.738  0.240
Au  0.949  0.949  0.651

Values from the calculation:
**Energy relative to the elements**: -0.418 eV per atom
**Calculated total energy**: -4.758 eV per atom
**E above lowest polymorph**: 21 meV per atom
**Total magnetic moment**: 0.08 μB per formula unit
**DOS(E_F)**: 3.18 states/eV/f.u.



(2)
Material: LiHf2Au
Method: DFT, PBE-GGA
State: optimized geometry

a b c (Å): 4.760 4.760 4.760
angles (deg): 60.00 60.00 60.00
Element x y z (fractional)
Li  0.000  0.000  0.000
Hf  0.250  0.250  0.250
Hf  0.750  0.750  0.750
Au  0.500  0.500  0.500

Values from the calculation:
**Energy relative to the elements**: -0.044 eV per atom
**Calculated total energy**: -6.319 eV per atom
**E above lowest polymorph**: 0 meV per atom
**Total magnetic moment**: 1.08 μB per formula unit
**DOS(E_F)**: 5.53 states/eV/f.u.



(3)
Material: LiHfMgAu
Method: DFT, PBE-GGA
State: optimized geometry

a b c (Å): 4.645 4.645 4.645
angles (deg): 60.00 60.00 60.00
Element x y z (fractional)
Li  0.000  0.000  0.000
Hf  0.250  0.250  0.250
Mg  0.750  0.750  0.750
Au  0.500  0.500  0.500

Values from the calculation:
**Energy relative to the elements**: -0.342 eV per atom
**Calculated total energy**: -4.527 eV per atom
**Total magnetic moment**: 0.00 μB per formula unit
**DOS(E_F)**: 0.21 states/eV/f.u.